VASP calculation (GGA-PBE) on an optimized crystal structure of BaIr2Rh2.

Summary:
Polymorph energy (0 for the lowest one) (meV per atom): 0

Lattice parameters (Å, degrees): 4.382 4.382 10.588 90.00 90.00 90.00
Space group I4/mmm (No. 139)
One atom of each set of equivalent atoms:
Ba  0.000  0.000  0.000 x2
Ir  0.000  0.000  0.387 x4
Rh  0.000  0.500  0.250 x4


VASP calculation (GGA-PBE) on an optimized crystal structure of Ba2IrRh.

Summary:
Polymorph energy (0 for the lowest one) (meV per atom): 473

Lattice parameters (Å, degrees): 5.121 5.121 4.110 90.00 90.00 90.00
Space group P4/mmm (No. 123)
One atom of each set of equivalent atoms:
Ba  0.000  0.500  0.000 x2
Ir  0.000  0.000  0.500 x1
Rh  0.500  0.500  0.500 x1


VASP calculation (GGA-PBE) on an optimized crystal structure of Ba2Ir2Rh.

Summary:
Energy (eV/atom): -5.65

Lattice parameters (Å, degrees): 6.941 6.941 5.085 90.00 90.00 90.00
Space group P4/mbm (No. 127)
One atom of each set of equivalent atoms:
Ba  0.185  0.315  0.000 x4
Ir  0.126  0.626  0.500 x4
Rh  0.000  0.000  0.500 x2


VASP calculation (GGA-PBE) on an optimized crystal structure of Ba2IrRh.

Summary:
Polymorph energy (0 for the lowest one) (meV per atom): 375

Lattice parameters (Å, degrees): 3.678 3.678 9.264 90.00 90.00 90.00
Space group P4mm (No. 99)
One atom of each set of equivalent atoms:
Ba  0.000  0.000  0.000 x1
Ba  0.500  0.500  0.441 x1
Ir  0.000  0.000  0.684 x1
Rh  0.500  0.500  0.754 x1


VASP calculation (GGA-PBE) on an optimized crystal structure of Ba2IrRh.

Summary:
Polymorph energy (0 for the lowest one) (meV per atom): 678

Lattice parameters (Å, degrees): 9.174 3.849 6.728 90.00 103.85 90.00
Space group C2/m (No. 12)
One atom of each set of equivalent atoms:
Ba  0.250  0.000  0.249 x4
Ir  0.000  0.000  0.500 x2
Rh  0.000  0.500  0.000 x2


VASP calculation (GGA-PBE) on an optimized crystal structure of Ba4IrRh.

Summary:
Energy (eV/atom): -2.88

Lattice parameters (Å, degrees): 9.360 9.360 9.360 90.00 90.00 90.00
Space group F-43m (No. 216)
One atom of each set of equivalent atoms:
Ba  0.125  0.125  0.125 x16
Ir  0.250  0.250  0.750 x4
Rh  0.000  0.000  0.500 x4


VASP calculation (GGA-PBE) on an optimized crystal structure of BaIr2RuRh.

Summary:
Polymorph energy (0 for the lowest one) (meV per atom): 1304

Lattice parameters (Å, degrees): 5.025 5.025 4.950 90.00 90.00 90.00
Space group P4/mmm (No. 123)
One atom of each set of equivalent atoms:
Ba  0.000  0.000  0.000 x1
Ir  0.000  0.500  0.000 x2
Ru  0.000  0.000  0.500 x1
Rh  0.500  0.500  0.500 x1


VASP calculation (GGA-PBE) on an optimized crystal structure of BaIr2RuRh.

Summary:
Polymorph energy (0 for the lowest one) (meV per atom): 0

Lattice parameters (Å, degrees): 4.759 4.759 5.619 90.00 90.00 90.00
Space group P4/mmm (No. 123)
One atom of each set of equivalent atoms:
Ba  0.000  0.000  0.000 x1
Ir  0.000  0.500  0.500 x2
Ru  0.500  0.500  0.000 x1
Rh  0.000  0.000  0.500 x1


VASP calculation (GGA-PBE) on an optimized crystal structure of Ba2Sb4Ir3Rh.

Summary:
E_form (uncorrected) (eV per atom): -0.554

Lattice parameters (Å, degrees): 4.699 4.699 10.702 90.00 90.00 90.00
Space group P-4m2 (No. 115)
One atom of each set of equivalent atoms:
Ba  0.000  0.500  0.249 x2
Sb  0.000  0.000  0.000 x1
Sb  0.000  0.500  0.626 x2
Sb  0.500  0.500  0.000 x1
Ir  0.000  0.500  0.879 x2
Ir  0.500  0.500  0.500 x1
Rh  0.000  0.000  0.500 x1


VASP calculation (GGA-PBE) on an optimized crystal structure of BaSb3IrRh.

Summary:
E_form (uncorrected) (eV per atom): -0.399

Lattice parameters (Å, degrees): 6.821 14.763 6.848 90.00 90.00 90.00
Space group Cmcm (No. 63)
One atom of each set of equivalent atoms:
Ba  0.000  0.198  0.250 x4
Sb  0.000  0.248  0.750 x4
Sb  0.247  0.500  0.000 x8
Ir  0.000  0.422  0.750 x4
Rh  0.000  0.076  0.750 x4


VASP calculation (GGA-PBE) on an optimized crystal structure of BaSb2IrRh.

Summary:
E_form (uncorrected) (eV per atom): -0.576

Lattice parameters (Å, degrees): 4.299 4.299 13.712 90.00 90.00 90.00
Space group I-4m2 (No. 119)
One atom of each set of equivalent atoms:
Ba  0.000  0.000  0.000 x2
Sb  0.000  0.000  0.360 x4
Ir  0.000  0.500  0.750 x2
Rh  0.000  0.500  0.250 x2


VASP calculation (GGA-PBE) on an optimized crystal structure of BaTiIrRh2.

Summary:
Energy (eV/atom): -4.61

Lattice parameters (Å, degrees): 4.947 4.947 5.093 90.00 90.00 90.00
Space group P4/mmm (No. 123)
One atom of each set of equivalent atoms:
Ba  0.000  0.000  0.000 x1
Ti  0.500  0.500  0.500 x1
Ir  0.000  0.000  0.500 x1
Rh  0.000  0.500  0.000 x2